Si2PSe | Alexandria via LeMat-Bulk | PBE | relaxed; formation energy (no corrections) = 2.08 eV/f.u.
1.0
-1.7244 1.7244 6.9180
1.7244 -1.7244 6.9180
1.7244 1.7244 -6.9180
Si P Se
2 1 1
Direct
0.0000 0.0000 0.0000
0.7500 0.2500 0.5000
0.2500 0.7500 0.5000
0.5000 0.5000 0.0000

=====

Si2PSe | Alexandria via LeMat-Bulk | PBE | relaxed; formation energy (no corrections) = 2.26 eV/f.u.
1.0
4.5350 0.0000 0.0000
0.0000 4.5350 0.0000
0.0000 0.0000 3.1475
Si P Se
2 1 1
Direct
0.0000 0.5000 0.0000
0.5000 0.0000 0.0000
0.0000 0.0000 0.5000
0.5000 0.5000 0.5000

=====

Si2PSe | Alexandria via LeMat-Bulk | PBE | relaxed; formation energy (no corrections) = 2.13 eV/f.u.
1.0
-1.5914 2.1572 4.9395
1.5914 -2.1572 4.9395
1.5914 2.1572 -4.9395
Si P Se
2 1 1
Direct
0.2027 0.2027 0.0000
0.7973 0.7973 0.0000
0.0000 0.5000 0.5000
0.5000 0.0000 0.5000

=====

no.,D(E_F) (states/eV/f.u.)
1,2.27
2,1.56
3,1.80